This record from Alexandria describes KBi3Sb after structural relaxation. The functional is PBE-GGA.

Values from the calculation:
DOS at the Fermi energy, states/eV/cell: 7.41
Electronic total energy, eV per cell: -15.33

a = 5.9866 Å, b = 5.9866 Å, c = 5.9866 Å
α = 90.00°, β = 90.00°, γ = 90.00°
Last column: nearest neighbours and their distance in Å.
Element x y z (fractional)
Sb 0.0000 0.0000 0.0000  6 Bi 2.99
K 0.5000 0.5000 0.5000  12 Bi 4.23
Bi 0.0000 0.5000 0.0000  2 Sb 2.99
Bi 0.0000 0.0000 0.5000  2 Sb 2.99
Bi 0.5000 0.0000 0.0000  2 Sb 2.99

=====

This record from Alexandria describes K2BiSb2 after structural relaxation. The functional is PBE-GGA.

Values from the calculation:
DOS at the Fermi energy, states/eV/cell: 4.31
Electronic total energy, eV per cell: -13.69

a = 5.0574 Å, b = 5.0574 Å, c = 8.0828 Å
α = 71.77°, β = 71.77°, γ = 90.00°
Last column: nearest neighbours and their distance in Å.
Element x y z (fractional)
Sb 0.4074 0.4074 0.1853  1 Sb 2.69
Sb 0.5926 0.5926 0.8147  1 Sb 2.69
K 0.7500 0.2500 0.5000  4 Sb 3.41, 4 K 3.58
K 0.2500 0.7500 0.5000  4 Sb 3.41, 4 K 3.58
Bi 0.0000 0.0000 0.0000  8 Sb 3.82

=====

This record from Alexandria describes K3Bi2Sb after structural relaxation. The functional is PBE-GGA.

Values from the calculation:
DOS at the Fermi energy, states/eV/cell: 8.80
Electronic total energy, eV per cell: -68.03

a = 8.8954 Å, b = 10.4084 Å, c = 12.5919 Å
α = 90.00°, β = 120.67°, γ = 90.00°
Last column: nearest neighbours and their distance in Å.
Element x y z (fractional)
K 0.3165 0.8916 0.9566  5 Bi 3.56-3.79, 2 K 3.65-3.71
K 0.1835 0.3916 0.5434  5 Bi 3.56-3.79, 2 K 3.65-3.71
K 0.6835 0.1084 0.0434  5 Bi 3.56-3.79, 2 K 3.65-3.71
K 0.8165 0.6084 0.4566  5 Bi 3.56-3.79, 2 K 3.65-3.71
K 0.3885 0.5729 0.1072  3 Bi 3.62-3.69, 1 K 3.71, 2 Sb 3.87-3.94
K 0.1115 0.0729 0.3928  3 Bi 3.62-3.69, 1 K 3.71, 2 Sb 3.87-3.94
K 0.6115 0.4271 0.8928  3 Bi 3.62-3.69, 1 K 3.71, 2 Sb 3.87-3.94
K 0.8885 0.9271 0.6072  3 Bi 3.62-3.69, 1 K 3.71, 2 Sb 3.87-3.94
K 0.9280 0.7118 0.1435  4 Bi 3.70-3.82, 2 Sb 3.90-3.92
K 0.5720 0.2118 0.3565  4 Bi 3.70-3.82, 2 Sb 3.90-3.92
K 0.0720 0.2882 0.8565  4 Bi 3.70-3.82, 2 Sb 3.90-3.92
K 0.4280 0.7882 0.6435  4 Bi 3.70-3.82, 2 Sb 3.90-3.92
Bi 0.6994 0.8923 0.2739  1 Sb 2.92
Bi 0.8006 0.3923 0.2261  1 Sb 2.92
Bi 0.3006 0.1077 0.7261  1 Sb 2.92
Bi 0.1994 0.6077 0.7739  1 Sb 2.92
Bi 0.3478 0.5667 0.3787  2 Sb 3.11-3.27, 1 Bi 3.19
Bi 0.1522 0.0667 0.1213  2 Sb 3.11-3.27, 1 Bi 3.19
Bi 0.6522 0.4333 0.6213  2 Sb 3.11-3.27, 1 Bi 3.19
Bi 0.8478 0.9333 0.8787  2 Sb 3.11-3.27, 1 Bi 3.19
Sb 0.3990 0.8593 0.3066  3 Bi 2.92-3.27
Sb 0.1010 0.3593 0.1934  3 Bi 2.92-3.27
Sb 0.6010 0.1407 0.6934  3 Bi 2.92-3.27
Sb 0.8990 0.6407 0.8066  3 Bi 2.92-3.27

=====

This record from Alexandria describes KBi3Sb after structural relaxation. The functional is PBE-GGA.

Values from the calculation:
DOS at the Fermi energy, states/eV/cell: 7.59
Electronic total energy, eV per cell: -10.79

a = 5.8901 Å, b = 5.8901 Å, c = 5.8901 Å
α = 90.00°, β = 90.00°, γ = 90.00°
Last column: nearest neighbours and their distance in Å.
Element x y z (fractional)
Sb 0.5000 0.5000 0.5000  12 Bi 4.16
K 0.0000 0.0000 0.0000  6 Bi 2.95
Bi 0.0000 0.5000 0.0000  2 K 2.95
Bi 0.0000 0.0000 0.5000  2 K 2.95
Bi 0.5000 0.0000 0.0000  2 K 2.95

=====

This record from Alexandria describes KBiSb after structural relaxation. The functional is PBE-GGA.

Values from the calculation:
DOS at the Fermi energy, states/eV/cell: 1.80
Electronic total energy, eV per cell: -19.56

a = 5.1959 Å, b = 5.4743 Å, c = 10.1033 Å
α = 120.59°, β = 90.00°, γ = 90.00°
Last column: nearest neighbours and their distance in Å.
Element x y z (fractional)
K 0.3613 0.5008 0.4870  6 Sb 3.75-4.12, 6 Bi 3.99-4.09
K 0.3613 0.5118 0.0075  6 Sb 3.75-4.12, 6 Bi 3.99-4.09
Bi 0.8613 0.8408 0.8346  1 Sb 2.98, 2 Bi 3.11-3.15
Bi 0.8613 0.1718 0.6599  1 Sb 2.98, 2 Bi 3.11-3.15
Sb 0.8613 0.1883 0.1770  2 Sb 2.98-3.02, 1 Bi 2.98
Sb 0.8613 0.8243 0.3175  2 Sb 2.98-3.02, 1 Bi 2.98

=====

This record from Alexandria describes K3BiSb2 after structural relaxation. The functional is PBE-GGA.

Values from the calculation:
DOS at the Fermi energy, states/eV/cell: 4.52
Electronic total energy, eV per cell: -69.90

a = 9.2482 Å, b = 10.1880 Å, c = 12.2127 Å
α = 90.00°, β = 121.90°, γ = 90.00°
Last column: nearest neighbours and their distance in Å.
Element x y z (fractional)
K 0.3063 0.9098 0.9630  5 Sb 3.52-3.64, 3 K 3.67-3.78
K 0.1937 0.4098 0.5370  5 Sb 3.52-3.64, 3 K 3.67-3.78
K 0.6937 0.0902 0.0370  5 Sb 3.52-3.64, 3 K 3.67-3.78
K 0.8063 0.5902 0.4630  5 Sb 3.52-3.64, 3 K 3.67-3.78
K 0.4340 0.5863 0.1172  4 Sb 3.54-3.75, 2 K 3.67-3.78
K 0.0660 0.0863 0.3828  4 Sb 3.54-3.75, 2 K 3.67-3.78
K 0.5660 0.4137 0.8828  4 Sb 3.54-3.75, 2 K 3.67-3.78
K 0.9340 0.9137 0.6172  4 Sb 3.54-3.75, 2 K 3.67-3.78
K 0.9362 0.7247 0.1645  4 Sb 3.64-3.84, 1 Bi 3.78
K 0.5638 0.2247 0.3355  4 Sb 3.64-3.84, 1 Bi 3.78
K 0.0638 0.2753 0.8355  4 Sb 3.64-3.84, 1 Bi 3.78
K 0.4362 0.7753 0.6645  4 Sb 3.64-3.84, 1 Bi 3.78
Bi 0.4164 0.8773 0.3304  3 Sb 2.92-3.25
Bi 0.0836 0.3773 0.1696  3 Sb 2.92-3.25
Bi 0.5836 0.1227 0.6696  3 Sb 2.92-3.25
Bi 0.9164 0.6227 0.8304  3 Sb 2.92-3.25
Sb 0.6892 0.8894 0.2771  1 Bi 2.92
Sb 0.8108 0.3894 0.2229  1 Bi 2.92
Sb 0.3108 0.1106 0.7229  1 Bi 2.92
Sb 0.1892 0.6106 0.7771  1 Bi 2.92
Sb 0.3646 0.5708 0.3754  1 Sb 3.09, 2 Bi 3.17-3.25
Sb 0.1354 0.0708 0.1246  1 Sb 3.09, 2 Bi 3.17-3.25
Sb 0.6354 0.4292 0.6246  1 Sb 3.09, 2 Bi 3.17-3.25
Sb 0.8646 0.9292 0.8754  1 Sb 3.09, 2 Bi 3.17-3.25

=====

Which of these has the highest DOS at the Fermi energy?
K3Bi2Sb